Al2Ga2I7 | GGA-PBE | relaxed

a = 7.1849 Å, b = 17.0012 Å, c = 8.6772 Å
α = 90.00°, β = 98.11°, γ = 90.00°
Positions (direct):
Al (0.1503, 0.1147, 0.3328)
Al (0.1503, 0.3853, 0.8328)
Al (0.8497, 0.6147, 0.1672)
Al (0.8497, 0.8853, 0.6672)
Ga (0.3975, 0.6600, 0.5708)
Ga (0.3975, 0.8400, 0.0708)
Ga (0.6025, 0.1600, 0.9292)
Ga (0.6025, 0.3400, 0.4292)
I (0.0000, 0.0000, 0.5000)
I (0.0000, 0.5000, 0.0000)
I (0.1097, 0.7179, 0.2737)
I (0.1097, 0.7821, 0.7737)
I (0.3008, 0.0563, 0.1001)
I (0.3008, 0.4437, 0.6001)
I (0.4159, 0.1840, 0.5267)
I (0.4159, 0.3160, 0.0267)
I (0.5841, 0.6840, 0.9733)
I (0.5841, 0.8160, 0.4733)
I (0.6992, 0.5563, 0.3999)
I (0.6992, 0.9437, 0.8999)
I (0.8903, 0.2179, 0.2263)
I (0.8903, 0.2821, 0.7263)

Properties
The value obtained for the uncorrected formation energy is -417 meV per atom. Its space group is P2_1/c, No. 14.

DyPuGe2 | GGA-PBE | relaxed

a = 3.9338 Å, b = 5.8228 Å, c = 8.1238 Å
α = 90.00°, β = 90.00°, γ = 90.00°
Positions (direct):
Dy (0.0000, 0.1354, 0.0000)
Dy (0.0000, 0.8646, 0.5000)
Pu (0.5000, 0.3661, 0.3635)
Pu (0.5000, 0.6339, 0.8635)
Ge (0.0000, 0.3883, 0.6446)
Ge (0.0000, 0.6117, 0.1446)
Ge (0.5000, 0.1056, 0.7207)
Ge (0.5000, 0.8944, 0.2207)

Properties
Its excess energy over the best structure of this formula in the dataset is 0.003 eV per atom. Its space group is Pmc2_1, No. 26. The value obtained for the calculated formation energy is -0.617 eV/atom.

CaPm4Y7 | GGA-PBE | relaxed

a = 6.6030 Å, b = 6.9353 Å, c = 9.1644 Å
α = 86.85°, β = 77.37°, γ = 82.61°
Positions (direct):
Ca (0.0000, 0.0000, 0.0000)
Pm (0.1554, 0.6106, 0.3106)
Pm (0.3652, 0.1906, 0.7134)
Pm (0.6348, 0.8094, 0.2866)
Pm (0.8446, 0.3894, 0.6894)
Y (0.0000, 0.5000, 0.0000)
Y (0.1896, 0.1034, 0.3813)
Y (0.3208, 0.6899, 0.6369)
Y (0.4896, 0.2537, 0.0478)
Y (0.5104, 0.7463, 0.9522)
Y (0.6792, 0.3101, 0.3631)
Y (0.8104, 0.8966, 0.6187)

Properties
Its space group is P-1, No. 2. The value obtained for the calculated formation energy is 0.100 eV/atom.

PrMgGe2Pt5 | GGA-PBE | relaxed

a = 4.2685 Å, b = 4.2685 Å, c = 9.1332 Å
α = 90.00°, β = 90.00°, γ = 90.00°
Positions (direct):
Pr (0.0000, 0.0000, 0.0000)
Mg (0.0000, 0.0000, 0.5000)
Ge (0.5000, 0.5000, 0.3703)
Ge (0.5000, 0.5000, 0.6297)
Pt (0.0000, 0.5000, 0.2365)
Pt (0.0000, 0.5000, 0.7635)
Pt (0.5000, 0.0000, 0.2365)
Pt (0.5000, 0.0000, 0.7635)
Pt (0.5000, 0.5000, 0.0000)

Properties
Its space group is P4/mmm, No. 123. The value obtained for the calculated formation energy is -0.650 eV/atom.

Number 1: magnetic moment 1.1 μB per cell. Number 2: magnetic moment 11.9 μB per cell. Number 3: magnetic moment 0.0 μB per cell. Number 4: magnetic moment 0.0 μB per cell.